# 1
Density functional theory data (GGA-PBE) for crystalline Ba2U2O7 at its relaxed geometry.

Properties
Final energy = -193.29 eV per cell
N(E_F) = 0.1221 states/eV/atom
Symmetry = No. 74

Lattice parameters (Å, degrees): 8.166 8.166 8.166 119.52 91.27 119.02
Positions (direct):
Ba  0.000  0.000  0.000
Ba  0.500  0.000  0.000
Ba  0.500  0.000  0.500
Ba  0.500  0.500  0.500
U  0.000  0.000  0.500
U  0.000  0.500  0.000
U  0.000  0.500  0.500
U  0.500  0.500  0.000
O  0.050  0.228  0.415
O  0.050  0.635  0.823
O  0.088  0.838  0.250
O  0.308  0.714  0.593
O  0.312  0.228  0.677
O  0.312  0.635  0.085
O  0.379  0.286  0.093
O  0.621  0.714  0.907
O  0.688  0.365  0.915
O  0.688  0.772  0.323
O  0.692  0.286  0.407
O  0.912  0.162  0.750
O  0.950  0.365  0.177
O  0.950  0.772  0.585

# 2
Density functional theory data (GGA-PBE) for crystalline Rb4Au2I at its relaxed geometry.

Properties
Final energy = -31.46 eV per cell
N(E_F) = 0.6131 states/eV/atom
Symmetry = No. 63

Lattice parameters (Å, degrees): 6.103 6.103 19.714 90.00 90.00 120.04
Positions (direct):
Rb  0.000  0.000  0.000
Rb  0.000  0.000  0.500
Rb  0.333  0.667  0.611
Rb  0.333  0.667  0.889
Rb  0.334  0.666  0.250
Rb  0.666  0.334  0.750
Rb  0.667  0.333  0.111
Rb  0.667  0.333  0.389
Au  0.334  0.666  0.067
Au  0.334  0.666  0.433
Au  0.666  0.334  0.567
Au  0.666  0.334  0.933
I  0.001  0.999  0.250
I  0.999  0.001  0.750

# 3
Density functional theory data (GGA-PBE) for crystalline AcLa2Bi at its relaxed geometry.

Properties
Final energy = -19.69 eV per cell
N(E_F) = 1.0255 states/eV/atom
Symmetry = No. 123

Lattice parameters (Å, degrees): 5.190 5.190 5.129 90.00 90.00 90.00
Positions (direct):
Ac  0.000  0.000  0.000
La  0.000  0.500  0.500
La  0.500  0.000  0.500
Bi  0.500  0.500  0.000

# 4
Density functional theory data (GGA-PBE) for crystalline VNi4Pt6 at its relaxed geometry.

Properties
Final energy = -138.97 eV per cell
N(E_F) = 1.4387 states/eV/atom
Symmetry = No. 63

Lattice parameters (Å, degrees): 4.222 4.222 19.470 90.00 90.00 116.89
Positions (direct):
V  0.224  0.776  0.750
V  0.776  0.224  0.250
Ni  0.145  0.855  0.043
Ni  0.145  0.855  0.457
Ni  0.436  0.564  0.123
Ni  0.436  0.564  0.377
Ni  0.564  0.436  0.623
Ni  0.564  0.436  0.877
Ni  0.855  0.145  0.543
Ni  0.855  0.145  0.957
Pt  0.101  0.899  0.178
Pt  0.101  0.899  0.322
Pt  0.217  0.783  0.598
Pt  0.217  0.783  0.902
Pt  0.437  0.563  0.250
Pt  0.500  0.500  0.000
Pt  0.500  0.500  0.500
Pt  0.563  0.437  0.750
Pt  0.783  0.217  0.098
Pt  0.783  0.217  0.402
Pt  0.899  0.101  0.678
Pt  0.899  0.101  0.822